Entry 1:
Entry from Alexandria: crystalline TbCo6Ge6 at its relaxed geometry (PBE).

The structure in POSCAR format:
```
TbCo6Ge6
1.0
2.548 -4.414 0.000
2.548 4.414 0.000
0.000 0.000 7.863
Tb Co Ge
1 6 6
direct
0.000 0.000 0.000
0.500 0.500 0.749
0.500 0.000 0.749
0.000 0.500 0.749
0.500 0.500 0.251
0.500 0.000 0.251
0.000 0.500 0.251
0.667 0.333 0.000
0.333 0.667 0.000
0.667 0.333 0.500
0.333 0.667 0.500
0.000 0.000 0.655
0.000 0.000 0.345
```

Summary:
As for the formation energy from the elements: -0.345 eV per atom.

Entry 2:
Entry from Alexandria: crystalline LiIn3Ag5 at its relaxed geometry (PBE).

The structure in POSCAR format:
```
LiIn3Ag5
1.0
-2.386 5.017 1.750
-6.362 -1.165 -5.332
-0.494 -2.965 7.826
Li In Ag
2 6 10
direct
0.000 0.000 0.000
0.500 0.000 0.000
0.750 0.325 0.325
0.750 0.000 0.675
0.750 0.675 0.000
0.250 0.675 0.675
0.250 0.000 0.325
0.250 0.325 0.000
0.000 0.667 0.333
0.500 0.333 0.667
0.000 0.333 0.667
0.500 0.667 0.333
0.750 0.660 0.660
0.750 0.000 0.340
0.750 0.340 0.000
0.250 0.340 0.340
0.250 0.000 0.660
0.250 0.660 0.000
```

Summary:
As for the energy above the most stable polymorph in this dataset: 0 meV per atom. As for the formation energy from the elements: -0.059 eV per atom.

Entry 3:
Entry from Alexandria: crystalline FeIrRu2 at its relaxed geometry (PBE).

The structure in POSCAR format:
```
FeIrRu2
1.0
-1.826 -1.573 -1.213
1.804 -0.622 -1.908
2.302 -5.815 4.073
Fe Ir Ru
1 1 2
direct
0.000 0.000 0.499
0.500 0.500 0.742
0.000 0.000 0.003
0.500 0.500 0.256
```

Summary:
As for the energy above the most stable polymorph in this dataset: 55 meV per atom. As for the formation energy from the elements: 0.056 eV per atom.

Entry 4:
Entry from Alexandria: crystalline EuAl2Ru at its relaxed geometry (PBE).

The structure in POSCAR format:
```
EuAl2Ru
1.0
-2.302 -1.362 -1.646
2.088 -1.947 -1.309
-1.095 -4.964 5.638
Eu Ru Al
1 1 2
direct
0.500 0.500 0.500
0.500 0.500 0.000
0.000 0.000 0.821
0.000 0.000 0.179
```

Summary:
As for the formation energy from the elements: -0.445 eV per atom.

Entry 5:
Entry from Alexandria: crystalline Be5Pd3 at its relaxed geometry (PBE).

The structure in POSCAR format:
```
Be5Pd3
1.0
2.740 0.000 0.000
0.000 5.281 -3.049
0.000 0.000 6.098
Be Pd
5 3
direct
0.000 0.667 0.333
0.000 0.333 0.667
0.000 0.000 0.246
0.000 0.246 0.000
0.000 0.754 0.754
0.500 0.000 0.621
0.500 0.621 0.000
0.500 0.379 0.379
```

Summary:
As for the formation energy from the elements: -0.395 eV per atom.

Entry 6:
Entry from Alexandria: crystalline NaCoRu at its relaxed geometry (PBE).

The structure in POSCAR format:
```
NaCoRu
1.0
-6.102 -0.211 -13.439
-2.335 -2.921 -4.842
0.143 1.767 5.856
Ru Co Na
2 2 2
direct
0.152 0.623 0.377
0.848 0.377 0.623
0.541 0.281 0.719
0.459 0.719 0.281
0.222 0.292 0.708
0.778 0.708 0.292
```

Summary:
As for the energy above the most stable polymorph in this dataset: 121 meV per atom. As for the formation energy from the elements: 0.517 eV per atom.